# 1
Compound: PrPa2Se3
Source: the Alexandria database
Functional: PBE
Structure: relaxed

Properties
**Formation energy without anion corrections**: -1389 meV per atom
**Magnetization**: 4.70 Bohr magnetons per cell
**Calculated total energy**: -7.09 eV/atom

a = 5.835 Å, b = 12.556 Å, c = 8.140 Å
α = 90.00°, β = 90.02°, γ = 90.00°
Space group P2_1/c (No. 14)
Asymmetric unit:
Pr  0.250  0.079  0.127 (multiplicity 4)
Pa  0.250  0.084  0.622 (multiplicity 4)
Pa  0.251  0.745  0.625 (multiplicity 4)
Se  0.249  0.248  0.874 (multiplicity 4)
Se  0.250  0.586  0.365 (multiplicity 4)
Se  0.250  0.587  0.883 (multiplicity 4)

---

# 2
Compound: SrDy3Tc
Source: the Alexandria database
Functional: PBE
Structure: relaxed

Properties
**Magnetization**: 0.00 Bohr magnetons per cell
**Energy of formation from the pure elements**: 60 meV/atom
**Calculated total energy**: -5.11 eV/atom

a = 5.489 Å, b = 5.489 Å, c = 5.489 Å
α = 90.00°, β = 90.00°, γ = 90.00°
Space group Pm-3m (No. 221)
Asymmetric unit:
Sr  0.000  0.000  0.000 (multiplicity 1)
Dy  0.000  0.500  0.500 (multiplicity 3)
Tc  0.500  0.500  0.500 (multiplicity 1)

---

# 3
Compound: Fe2CoNi2
Source: the Alexandria database
Functional: PBE
Structure: relaxed

Properties
**Magnetization**: 0.00 Bohr magnetons per cell
**Energy of formation from the pure elements**: 488 meV/atom
**Calculated total energy**: -6.63 eV/atom
**Excess energy over the best structure of this formula in the dataset**: 0.085 eV per atom

a = 6.624 Å, b = 6.624 Å, c = 2.516 Å
α = 90.00°, β = 90.00°, γ = 90.00°
Space group P4/mbm (No. 127)
Asymmetric unit:
Fe  0.174  0.326  0.000 (multiplicity 4)
Co  0.000  0.000  0.500 (multiplicity 2)
Ni  0.125  0.625  0.500 (multiplicity 4)

---

# 4
Compound: BPtS3
Source: the Alexandria database
Functional: PBE
Structure: relaxed

Properties
**Formation energy without anion corrections**: 903 meV per atom
**Magnetization**: 0.00 Bohr magnetons per cell
**Calculated total energy**: -4.12 eV/atom
**Excess energy over the best structure of this formula in the dataset**: 0.000 eV per atom

a = 4.109 Å, b = 4.109 Å, c = 4.109 Å
α = 90.00°, β = 90.00°, γ = 90.00°
Space group Pm-3m (No. 221)
Asymmetric unit:
B  0.000  0.000  0.000 (multiplicity 1)
Pt  0.500  0.500  0.500 (multiplicity 1)
S  0.000  0.000  0.500 (multiplicity 3)

---

# 5
Compound: AcTb5As6
Source: the Alexandria database
Functional: PBE
Structure: relaxed

Properties
**Magnetization**: 0.00 Bohr magnetons per cell
**Energy of formation from the pure elements**: -1498 meV/atom
**Calculated total energy**: -6.09 eV/atom

a = 7.300 Å, b = 12.642 Å, c = 7.299 Å
α = 90.00°, β = 109.51°, γ = 90.00°
Space group C2/m (No. 12)
Asymmetric unit:
Ac  0.000  0.000  0.000 (multiplicity 2)
Tb  0.000  0.164  0.500 (multiplicity 4)
Tb  0.000  0.333  0.000 (multiplicity 4)
Tb  0.000  0.500  0.500 (multiplicity 2)
As  0.240  0.500  0.256 (multiplicity 4)
As  0.241  0.327  0.742 (multiplicity 8)

---

# 6
Compound: CaCu3I
Source: the Alexandria database
Functional: PBE
Structure: relaxed

Properties
**Formation energy without anion corrections**: 725 meV per atom
**Magnetization**: 0.00 Bohr magnetons per cell
**Calculated total energy**: -2.44 eV/atom
**Excess energy over the best structure of this formula in the dataset**: 0.000 eV per atom

a = 5.056 Å, b = 5.056 Å, c = 5.056 Å
α = 90.00°, β = 90.00°, γ = 90.00°
Space group Pm-3m (No. 221)
Asymmetric unit:
Ca  0.000  0.000  0.000 (multiplicity 1)
Cu  0.000  0.500  0.500 (multiplicity 3)
I  0.500  0.500  0.500 (multiplicity 1)